A plane-wave DFT calculation with GGA-PBE was carried out for a relaxed Li3Cd3Au2 crystal.

Calculated values
Excess energy over the best structure of this formula in the dataset: 0.0 kJ per mole of atoms
Total magnetic moment: 0.0 μB per formula unit
Formation energy: -328 meV/atom

```
data_Li3Cd3Au2
_chemical_formula_sum 'Li9 Cd9 Au6'
_space_group_name_H-M_alt 'R 3 2'
_space_group_IT_number 155
_space_group_name_Hall 'R 3 2"'
_cell_length_a 7.3210
_cell_length_b 7.3210
_cell_length_c 9.4102
_cell_angle_alpha 90.00
_cell_angle_beta 90.00
_cell_angle_gamma 120.00
loop_
_atom_site_label
_atom_site_type_symbol
_atom_site_fract_x
_atom_site_fract_y
_atom_site_fract_z
_atom_site_occupancy
Li1 Li 0.0000 0.2477 0.0000 1
Cd1 Cd 0.0000 0.7468 0.5000 1
Au1 Au 0.0000 0.0000 0.2436 1
```